Record 1
# PBE Ge2BiSb, optimized geometry
# - energy relative to the elements, uncorrected (meV/atom) = 297
# - spin magnetization (μB/f.u.) = 0.00
# - uncorrected energy (eV per cell) = -64.21
data_Ge2BiSb
_chemical_formula_sum 'Ge8 Bi4 Sb4'
_cell_length_a 6.8547
_cell_length_b 6.8547
_cell_length_c 11.4862
_cell_angle_alpha 90.00
_cell_angle_beta 90.00
_cell_angle_gamma 90.00
_space_group_name_H-M_alt 'I -4 2 d'
_space_group_IT_number 122
_space_group_name_Hall 'I -4 2bw'
loop_
_atom_site_label
_atom_site_type_symbol
_atom_site_fract_x
_atom_site_fract_y
_atom_site_fract_z
_atom_site_occupancy
Ge1 Ge 0.2356 0.2500 0.1250 1
Bi1 Bi 0.0000 0.0000 0.5000 1
Sb1 Sb 0.0000 0.0000 0.0000 1


Record 2
# PBE MgCr2Pt, optimized geometry
# - formation energy from the elements (kJ/mol of formula units) = 20
# - spin magnetization (μB/f.u.) = 0.00
# - uncorrected energy (eV per cell) = -53.35
data_MgCr2Pt
_chemical_formula_sum 'Mg2 Cr4 Pt2'
_cell_length_a 3.5819
_cell_length_b 3.5819
_cell_length_c 8.6018
_cell_angle_alpha 90.00
_cell_angle_beta 90.00
_cell_angle_gamma 90.00
_space_group_name_H-M_alt 'I 4/m m m'
_space_group_IT_number 139
_space_group_name_Hall '-I 4 2'
loop_
_atom_site_label
_atom_site_type_symbol
_atom_site_fract_x
_atom_site_fract_y
_atom_site_fract_z
_atom_site_occupancy
Mg1 Mg 0.0000 0.0000 0.0000 1
Cr1 Cr 0.0000 0.5000 0.2500 1
Pt1 Pt 0.0000 0.0000 0.5000 1


Record 3
# PBE YMoPt2, optimized geometry
# - formation energy from the elements (kJ/mol of formula units) = -79
# - spin magnetization (μB/f.u.) = 0.00
# - uncorrected energy (eV per cell) = -60.39
data_YMoPt2
_chemical_formula_sum 'Y2 Mo2 Pt4'
_cell_length_a 8.5265
_cell_length_b 2.8773
_cell_length_c 6.3852
_cell_angle_alpha 90.00
_cell_angle_beta 98.31
_cell_angle_gamma 90.00
_space_group_name_H-M_alt 'C 1 2/m 1'
_space_group_IT_number 12
loop_
_space_group_symop_operation_xyz
'x,y,z'
'-x,-y,-z'
'-x,y,-z'
'x,-y,z'
'x+1/2,y+1/2,z'
'-x+1/2,-y+1/2,-z'
'-x+1/2,y+1/2,-z'
'x+1/2,-y+1/2,z'
loop_
_atom_site_label
_atom_site_type_symbol
_atom_site_fract_x
_atom_site_fract_y
_atom_site_fract_z
_atom_site_occupancy
Y1 Y 0.0000 0.0000 0.0000 1
Mo1 Mo 0.0000 0.5000 0.5000 1
Pt1 Pt 0.2465 0.5000 0.3013 1


Record 4
# PBE CaAl4Zn4, optimized geometry
# - formation energy from the elements (kJ/mol of formula units) = -1
# - spin magnetization (μB/f.u.) = 0.00
# - uncorrected energy (eV per cell) = -44.15
data_CaAl4Zn4
_chemical_formula_sum 'Ca2 Al8 Zn8'
_cell_length_a 8.2476
_cell_length_b 8.2476
_cell_length_c 4.9956
_cell_angle_alpha 90.00
_cell_angle_beta 90.00
_cell_angle_gamma 90.00
_space_group_name_H-M_alt 'P 42/n'
_space_group_IT_number 86
loop_
_space_group_symop_operation_xyz
'x,y,z'
'-x,-y,-z'
'-y,x+1/2,z+1/2'
'y,-x+1/2,-z+1/2'
'-x+1/2,-y+1/2,z'
'x+1/2,y+1/2,-z'
'y+1/2,-x,z+1/2'
'-y+1/2,x,-z+1/2'
loop_
_atom_site_label
_atom_site_type_symbol
_atom_site_fract_x
_atom_site_fract_y
_atom_site_fract_z
_atom_site_occupancy
Ca1 Ca 0.2500 0.2500 0.2500 1
Al1 Al 0.1180 0.8364 0.6782 1
Zn1 Zn 0.0128 0.1185 0.8083 1


Record 5
# PBE YCo2Re, optimized geometry
# - formation energy from the elements (kJ/mol of formula units) = 74
# - spin magnetization (μB/f.u.) = 0.26
# - uncorrected energy (eV per cell) = -32.36
data_YCo2Re
_chemical_formula_sum 'Y1 Co2 Re1'
_cell_length_a 3.0152
_cell_length_b 4.1828
_cell_length_c 5.0831
_cell_angle_alpha 90.00
_cell_angle_beta 103.13
_cell_angle_gamma 90.00
_space_group_name_H-M_alt 'P 1 m 1'
_space_group_IT_number 6
loop_
_space_group_symop_operation_xyz
'x,y,z'
'x,-y,z'
loop_
_atom_site_label
_atom_site_type_symbol
_atom_site_fract_x
_atom_site_fract_y
_atom_site_fract_z
_atom_site_occupancy
Y1 Y 0.0000 0.0000 0.0000 1
Co1 Co 0.5826 0.5000 0.1884 1
Co2 Co 0.6190 0.0000 0.4891 1
Re1 Re 0.2608 0.5000 0.5766 1


Record 6
# PBE ScNbO2F, optimized geometry
# - energy relative to the elements, uncorrected (meV/atom) = -1887
# - spin magnetization (μB/f.u.) = 3.00
# - uncorrected energy (eV per cell) = -37.62
data_ScNbO2F
_chemical_formula_sum 'Sc1 Nb1 O2 F1'
_cell_length_a 4.1272
_cell_length_b 4.1272
_cell_length_c 3.9268
_cell_angle_alpha 90.00
_cell_angle_beta 90.00
_cell_angle_gamma 90.00
_space_group_name_H-M_alt 'P 4/m m m'
_space_group_IT_number 123
_space_group_name_Hall '-P 4 2'
loop_
_atom_site_label
_atom_site_type_symbol
_atom_site_fract_x
_atom_site_fract_y
_atom_site_fract_z
_atom_site_occupancy
Sc1 Sc 0.0000 0.0000 0.0000 1
Nb1 Nb 0.5000 0.5000 0.5000 1
O1 O 0.0000 0.5000 0.0000 1
F1 F 0.0000 0.0000 0.5000 1


Record 7
# PBE Tl2ZnPtCl, optimized geometry
# - energy relative to the elements, uncorrected (meV/atom) = -411
# - spin magnetization (μB/f.u.) = 0.00
# - uncorrected energy (eV per cell) = -15.95
data_Tl2ZnPtCl
_chemical_formula_sum 'Tl2 Zn1 Pt1 Cl1'
_cell_length_a 5.3626
_cell_length_b 5.3626
_cell_length_c 4.9047
_cell_angle_alpha 90.00
_cell_angle_beta 90.00
_cell_angle_gamma 90.00
_space_group_name_H-M_alt 'P 4/m m m'
_space_group_IT_number 123
_space_group_name_Hall '-P 4 2'
loop_
_atom_site_label
_atom_site_type_symbol
_atom_site_fract_x
_atom_site_fract_y
_atom_site_fract_z
_atom_site_occupancy
Tl1 Tl 0.0000 0.5000 0.0000 1
Zn1 Zn 0.0000 0.0000 0.5000 1
Pt1 Pt 0.0000 0.0000 0.0000 1
Cl1 Cl 0.5000 0.5000 0.5000 1


Record 8
# PBE K2SiNi, optimized geometry
# - energy relative to the elements, uncorrected (meV/atom) = 720
# - spin magnetization (μB/f.u.) = 0.00
# - uncorrected energy (eV per cell) = -21.04
data_K2SiNi
_chemical_formula_sum 'K4 Si2 Ni2'
_cell_length_a 5.2228
_cell_length_b 9.5601
_cell_length_c 4.2009
_cell_angle_alpha 90.00
_cell_angle_beta 90.33
_cell_angle_gamma 90.00
_space_group_name_H-M_alt 'C 1 2/m 1'
_space_group_IT_number 12
loop_
_space_group_symop_operation_xyz
'x,y,z'
'-x,-y,-z'
'-x,y,-z'
'x,-y,z'
'x+1/2,y+1/2,z'
'-x+1/2,-y+1/2,-z'
'-x+1/2,y+1/2,-z'
'x+1/2,-y+1/2,z'
loop_
_atom_site_label
_atom_site_type_symbol
_atom_site_fract_x
_atom_site_fract_y
_atom_site_fract_z
_atom_site_occupancy
K1 K 0.2500 0.2500 0.0000 1
Si1 Si 0.0000 0.0000 0.5000 1
Ni1 Ni 0.0000 0.5000 0.5000 1


- What is the formula in the seventh record?
  Tl2ZnPtCl


- uncorrected energy of number 3 (YMoPt2)?
  -60.39 eV per cell


- Which of these has the lowest uncorrected energy?
  Ge2BiSb